Below is an optimized crystal structure of La3ErPb2, with properties calculated at the PBE level.

symmetry = Ibam (72)
energy of formation from the pure elements = -0.459 eV/atom
crystal system = orthorhombic
total energy = -4.92 eV per atom
energy above the most stable polymorph in this dataset = 0 meV/atom
spin magnetization = 0.0 μB/f.u.

a = 6.750 Å, b = 6.703 Å, c = 10.124 Å
α = 109.33°, β = 109.47°, γ = 90.00°
Positions (direct):
La 0.427 0.674 0.347
La 0.573 0.326 0.653
La 0.080 0.826 0.653
La 0.920 0.174 0.347
La 0.500 0.750 0.000
La 0.500 0.250 0.000
Er 0.000 0.250 0.000
Er 0.000 0.750 0.000
Pb 0.378 0.137 0.275
Pb 0.622 0.863 0.725
Pb 0.103 0.363 0.725
Pb 0.897 0.637 0.275

Below is an optimized crystal structure of LaErPb6, with properties calculated at the PBE level.

symmetry = P4/mmm (123)
energy of formation from the pure elements = -0.347 eV/atom
crystal system = tetragonal
total energy = -4.31 eV per atom
spin magnetization = 0.0 μB/f.u.

a = 4.933 Å, b = 4.933 Å, c = 9.767 Å
α = 90.00°, β = 90.00°, γ = 90.00°
Positions (direct):
La 0.000 0.000 0.000
Er 0.000 0.000 0.500
Pb 0.500 0.500 0.000
Pb 0.500 0.500 0.500
Pb 0.500 0.000 0.257
Pb 0.500 0.000 0.743
Pb 0.000 0.500 0.257
Pb 0.000 0.500 0.743

Below is an optimized crystal structure of La3ErPb4, with properties calculated at the PBE level.

symmetry = C2/m (12)
energy of formation from the pure elements = -0.532 eV/atom
crystal system = monoclinic
total energy = -4.80 eV per atom
spin magnetization = 0.0 μB/f.u.

a = 5.172 Å, b = 5.173 Å, c = 9.871 Å
α = 105.13°, β = 105.19°, γ = 90.00°
Positions (direct):
Pb 0.378 0.378 0.756
Pb 0.622 0.622 0.244
Pb 0.122 0.122 0.244
Pb 0.878 0.878 0.756
Er 0.500 0.000 0.000
La 0.000 0.500 0.000
La 0.748 0.249 0.497
La 0.252 0.751 0.503

Below is an optimized crystal structure of LaEr2Pb, with properties calculated at the PBE level.

symmetry = P2_1/m (11)
energy of formation from the pure elements = -0.335 eV/atom
crystal system = monoclinic
total energy = -4.78 eV per atom
energy above the most stable polymorph in this dataset = 0 meV/atom
spin magnetization = 0.4 μB/f.u.

a = 4.815 Å, b = 4.737 Å, c = 11.582 Å
α = 101.66°, β = 90.00°, γ = 90.00°
Positions (direct):
La 0.250 0.311 0.617
La 0.750 0.689 0.383
Er 0.750 0.447 0.892
Er 0.250 0.553 0.108
Er 0.250 0.940 0.878
Er 0.750 0.060 0.122
Pb 0.750 0.843 0.680
Pb 0.250 0.157 0.320